1.
The following is a DFT calculation (PBE) of crystalline Li2Tl3In4 at its relaxed geometry.

Values from the calculation:
For the density, the calculation gives 7.85 g/cm³. For the calculated formation energy, the calculation gives -8.3 kJ/mol of atoms. As for the uncorrected energy: -2.517 eV per atom.

Unit cell a=5.987 b=5.987 c=9.993 alpha=113.40 beta=113.40 gamma=45.34
Positions (direct):
Li: 0.159 0.159 0.210
Li: 0.841 0.841 0.790
Tl: 0.178 0.178 0.568
Tl: 0.500 0.500 0.000
Tl: 0.822 0.822 0.432
In: 0.166 0.166 0.891
In: 0.493 0.493 0.331
In: 0.507 0.507 0.669
In: 0.834 0.834 0.109

2.
The following is a DFT calculation (PBE) of crystalline Cs2CaSe at its relaxed geometry.

Values from the calculation:
For the density, the calculation gives 3.24 g/cm³. As for the uncorrected energy: -2.049 eV per atom. For the formation energy without anion corrections, the calculation gives -1.0 eV per formula unit.

Unit cell a=6.536 b=6.536 c=6.536 alpha=60.00 beta=60.00 gamma=60.00
Positions (direct):
Cs: 0.250 0.250 0.250
Cs: 0.750 0.750 0.750
Ca: 0.000 0.000 0.000
Se: 0.500 0.500 0.500

3.
The following is a DFT calculation (PBE) of crystalline NaSmTe2Au at its relaxed geometry.

Values from the calculation:
For the density, the calculation gives 6.66 g/cm³. As for the uncorrected energy: -3.946 eV per atom. For the formation energy without anion corrections, the calculation gives -4.1 eV per formula unit.

Unit cell a=7.813 b=4.882 c=8.238 alpha=90.00 beta=96.83 gamma=90.00
Positions (direct):
Na: 0.000 0.127 0.250
Na: 0.000 0.873 0.750
Sm: 0.500 0.496 0.750
Sm: 0.500 0.504 0.250
Te: 0.212 0.331 0.971
Te: 0.212 0.669 0.471
Te: 0.788 0.331 0.529
Te: 0.788 0.669 0.029
Au: 0.500 0.000 0.000
Au: 0.500 0.000 0.500

4.
The following is a DFT calculation (PBE) of crystalline PuAgBi2O at its relaxed geometry.

Values from the calculation:
For the density, the calculation gives 10.22 g/cm³. As for the uncorrected energy: -6.972 eV per atom. For the formation energy without anion corrections, the calculation gives -5.0 eV per formula unit.

Unit cell a=3.993 b=3.993 c=16.015 alpha=90.00 beta=90.00 gamma=90.00
Positions (direct):
Pu: 0.250 0.250 0.072
Pu: 0.750 0.750 0.928
Ag: 0.250 0.250 0.622
Ag: 0.750 0.750 0.378
Bi: 0.250 0.250 0.435
Bi: 0.250 0.250 0.796
Bi: 0.750 0.750 0.204
Bi: 0.750 0.750 0.565
O: 0.250 0.750 0.000
O: 0.750 0.250 0.000

5.
The following is a DFT calculation (PBE) of crystalline AcPuGe4 at its relaxed geometry.

Values from the calculation:
For the density, the calculation gives 8.85 g/cm³. For the calculated formation energy, the calculation gives -43.6 kJ/mol of atoms. As for the uncorrected energy: -6.604 eV per atom.

Unit cell a=4.450 b=4.450 c=8.332 alpha=90.00 beta=90.00 gamma=120.00
Positions (direct):
Ac: 0.000 0.000 0.000
Pu: 0.000 0.000 0.500
Ge: 0.333 0.667 0.273
Ge: 0.333 0.667 0.727
Ge: 0.667 0.333 0.273
Ge: 0.667 0.333 0.727

6.
The following is a DFT calculation (PBE) of crystalline ZnCdMo3 at its relaxed geometry.

Values from the calculation:
For the density, the calculation gives 7.95 g/cm³. For the calculated formation energy, the calculation gives 151.3 kJ/mol of atoms. As for the uncorrected energy: -5.368 eV per atom.

Unit cell a=4.599 b=4.599 c=4.599 alpha=90.00 beta=90.00 gamma=90.00
Positions (direct):
Zn: 0.000 0.000 0.000
Cd: 0.500 0.500 0.500
Mo: 0.000 0.000 0.500
Mo: 0.000 0.500 0.000
Mo: 0.500 0.000 0.000

7.
The following is a DFT calculation (PBE) of crystalline NaTmBr3 at its relaxed geometry.

Values from the calculation:
For the density, the calculation gives 4.08 g/cm³. As for the uncorrected energy: -3.568 eV per atom. For the formation energy without anion corrections, the calculation gives -7.0 eV per formula unit.

Unit cell a=7.836 b=7.836 c=6.610 alpha=90.00 beta=90.00 gamma=120.00
Positions (direct):
Na: 0.333 0.667 0.250
Na: 0.667 0.333 0.750
Tm: 0.000 0.000 0.000
Tm: 0.000 0.000 0.500
Br: 0.169 0.337 0.750
Br: 0.169 0.831 0.750
Br: 0.337 0.169 0.250
Br: 0.663 0.831 0.750
Br: 0.831 0.169 0.250
Br: 0.831 0.663 0.250

8.
The following is a DFT calculation (PBE) of crystalline CdGaBi at its relaxed geometry.

Values from the calculation:
For the density, the calculation gives 8.39 g/cm³. For the calculated formation energy, the calculation gives 9.3 kJ/mol of atoms. As for the uncorrected energy: -2.512 eV per atom.

Unit cell a=5.156 b=5.156 c=3.364 alpha=90.00 beta=90.00 gamma=120.00
Positions (direct):
Cd: 0.000 0.000 0.000
Ga: 0.667 0.333 0.691
Bi: 0.333 0.667 0.362

9.
The following is a DFT calculation (PBE) of crystalline Pa3Ga7Tc2 at its relaxed geometry.

Values from the calculation:
For the density, the calculation gives 10.30 g/cm³. For the calculated formation energy, the calculation gives -23.8 kJ/mol of atoms. As for the uncorrected energy: -6.114 eV per atom.

Unit cell a=9.570 b=9.570 c=9.570 alpha=32.26 beta=32.26 gamma=32.26
Positions (direct):
Pa: 0.000 0.000 0.000
Pa: 0.154 0.154 0.154
Pa: 0.846 0.846 0.846
Ga: 0.072 0.582 0.582
Ga: 0.418 0.418 0.928
Ga: 0.418 0.928 0.418
Ga: 0.500 0.500 0.500
Ga: 0.582 0.072 0.582
Ga: 0.582 0.582 0.072
Ga: 0.928 0.418 0.418
Tc: 0.336 0.336 0.336
Tc: 0.664 0.664 0.664

10.
The following is a DFT calculation (PBE) of crystalline NpMn4Ir at its relaxed geometry.

Values from the calculation:
For the density, the calculation gives 13.13 g/cm³. For the calculated formation energy, the calculation gives 17.3 kJ/mol of atoms. As for the uncorrected energy: -9.567 eV per atom.

Unit cell a=4.879 b=4.879 c=4.879 alpha=60.00 beta=60.00 gamma=60.00
Positions (direct):
Np: 0.000 0.000 0.000
Mn: 0.376 0.376 0.376
Mn: 0.376 0.376 0.872
Mn: 0.376 0.872 0.376
Mn: 0.872 0.376 0.376
Ir: 0.750 0.750 0.750

11.
The following is a DFT calculation (PBE) of crystalline TbHo2Mg at its relaxed geometry.

Values from the calculation:
For the density, the calculation gives 7.28 g/cm³. For the calculated formation energy, the calculation gives 2.6 kJ/mol of atoms. As for the uncorrected energy: -3.818 eV per atom.

Unit cell a=4.885 b=4.885 c=4.907 alpha=90.00 beta=90.00 gamma=90.00
Positions (direct):
Tb: 0.000 0.000 0.000
Ho: 0.000 0.500 0.500
Ho: 0.500 0.000 0.500
Mg: 0.500 0.500 0.000

12.
The following is a DFT calculation (PBE) of crystalline Y2SnHO at its relaxed geometry.

Values from the calculation:
For the density, the calculation gives 5.65 g/cm³. As for the uncorrected energy: -6.734 eV per atom.

Unit cell a=7.131 b=7.131 c=7.131 alpha=149.67 beta=149.67 gamma=43.42
Positions (direct):
Y: 0.154 0.154 0.000
Y: 0.846 0.846 0.000
Sn: 0.500 0.500 0.000
H: 0.250 0.750 0.500
O: 0.750 0.250 0.500

13.
The following is a DFT calculation (PBE) of crystalline TeRhW3 at its relaxed geometry.

Values from the calculation:
For the density, the calculation gives 12.01 g/cm³. As for the uncorrected energy: -7.955 eV per atom. For the formation energy without anion corrections, the calculation gives 9.6 eV per formula unit.

Unit cell a=4.765 b=4.765 c=4.765 alpha=90.00 beta=90.00 gamma=90.00
Positions (direct):
Te: 0.000 0.000 0.000
Rh: 0.500 0.500 0.500
W: 0.000 0.500 0.500
W: 0.500 0.000 0.500
W: 0.500 0.500 0.000

14.
The following is a DFT calculation (PBE) of crystalline RbCaAc2O5 at its relaxed geometry.

Values from the calculation:
For the density, the calculation gives 6.43 g/cm³. As for the uncorrected energy: -6.562 eV per atom. For the formation energy without anion corrections, the calculation gives -23.1 eV per formula unit.

Unit cell a=8.249 b=8.249 c=8.249 alpha=127.75 beta=127.75 gamma=77.03
Positions (direct):
Rb: 0.250 0.250 0.000
Rb: 0.750 0.750 0.000
Ca: 0.250 0.750 0.500
Ca: 0.750 0.250 0.500
Ac: 0.173 0.673 0.845
Ac: 0.327 0.173 0.500
Ac: 0.673 0.827 0.500
Ac: 0.827 0.327 0.155
O: 0.000 0.000 0.000
O: 0.024 0.238 0.500
O: 0.238 0.738 0.214
O: 0.262 0.476 0.500
O: 0.476 0.976 0.214
O: 0.500 0.500 0.000
O: 0.524 0.024 0.786
O: 0.738 0.524 0.500
O: 0.762 0.262 0.786
O: 0.976 0.762 0.500

15.
The following is a DFT calculation (PBE) of crystalline Cs2NaN at its relaxed geometry.

Values from the calculation:
For the density, the calculation gives 2.01 g/cm³. As for the uncorrected energy: -2.076 eV per atom. For the formation energy without anion corrections, the calculation gives 3.0 eV per formula unit.

Unit cell a=8.860 b=8.860 c=8.860 alpha=118.63 beta=118.63 gamma=92.39
Positions (direct):
Cs: 0.375 0.209 0.334
Cs: 0.791 0.125 0.166
Cs: 0.875 0.041 0.666
Cs: 0.959 0.625 0.834
Na: 0.250 0.750 0.500
Na: 0.500 0.500 0.000
N: 0.000 0.000 0.000
N: 0.750 0.250 0.500

16.
The following is a DFT calculation (PBE) of crystalline MgTcHg2 at its relaxed geometry.

Values from the calculation:
For the density, the calculation gives 11.46 g/cm³. For the calculated formation energy, the calculation gives 35.8 kJ/mol of atoms. As for the uncorrected energy: -2.770 eV per atom.

Unit cell a=5.348 b=5.348 c=5.348 alpha=134.79 beta=134.79 gamma=65.85
Positions (direct):
Mg: 0.000 0.000 0.000
Tc: 0.250 0.750 0.500
Hg: 0.500 0.500 0.000
Hg: 0.750 0.250 0.500

17.
The following is a DFT calculation (PBE) of crystalline Y4AlAu at its relaxed geometry.

Values from the calculation:
For the density, the calculation gives 5.69 g/cm³. For the calculated formation energy, the calculation gives -33.6 kJ/mol of atoms. As for the uncorrected energy: -5.827 eV per atom.

Unit cell a=8.204 b=8.204 c=6.226 alpha=105.49 beta=105.49 gamma=112.82
Positions (direct):
Y: 0.059 0.692 0.912
Y: 0.226 0.369 0.701
Y: 0.308 0.941 0.588
Y: 0.369 0.226 0.201
Y: 0.631 0.774 0.799
Y: 0.692 0.059 0.412
Y: 0.774 0.631 0.299
Y: 0.941 0.308 0.088
Al: 0.371 0.629 0.250
Al: 0.629 0.371 0.750
Au: 0.001 0.999 0.750
Au: 0.999 0.001 0.250

18.
The following is a DFT calculation (PBE) of crystalline Rb2Li3PbI8 at its relaxed geometry.

Values from the calculation:
For the density, the calculation gives 3.57 g/cm³. As for the uncorrected energy: -2.682 eV per atom. For the formation energy without anion corrections, the calculation gives -13.8 eV per formula unit.

Unit cell a=10.548 b=10.548 c=10.548 alpha=51.15 beta=51.15 gamma=51.15
Positions (direct):
Rb: 0.000 0.000 0.000
Rb: 0.353 0.353 0.353
Li: 0.024 0.024 0.419
Li: 0.024 0.419 0.024
Li: 0.419 0.024 0.024
Pb: 0.558 0.558 0.558
I: 0.157 0.739 0.739
I: 0.224 0.224 0.224
I: 0.255 0.255 0.783
I: 0.255 0.783 0.255
I: 0.664 0.664 0.664
I: 0.739 0.157 0.739
I: 0.739 0.739 0.157
I: 0.783 0.255 0.255

19.
The following is a DFT calculation (PBE) of crystalline Li6RhO4 at its relaxed geometry.

Values from the calculation:
For the density, the calculation gives 3.64 g/cm³. As for the uncorrected energy: -4.824 eV per atom. For the formation energy without anion corrections, the calculation gives -14.4 eV per formula unit.

Unit cell a=6.038 b=6.038 c=3.016 alpha=90.00 beta=90.00 gamma=120.00
Positions (direct):
Li: 0.199 0.399 0.000
Li: 0.199 0.801 0.000
Li: 0.265 0.133 0.500
Li: 0.601 0.801 0.000
Li: 0.867 0.133 0.500
Li: 0.867 0.735 0.500
Rh: 0.667 0.333 0.000
O: 0.000 0.000 0.000
O: 0.502 0.004 0.500
O: 0.502 0.498 0.500
O: 0.996 0.498 0.500

20.
The following is a DFT calculation (PBE) of crystalline Sc2PPtCl at its relaxed geometry.

Values from the calculation:
For the density, the calculation gives 4.81 g/cm³. As for the uncorrected energy: -5.661 eV per atom. For the formation energy without anion corrections, the calculation gives -2.3 eV per formula unit.

Unit cell a=5.260 b=5.260 c=4.384 alpha=90.00 beta=90.00 gamma=90.00
Positions (direct):
Sc: 0.000 0.500 0.000
Sc: 0.500 0.000 0.000
P: 0.000 0.000 0.500
Pt: 0.000 0.000 0.000
Cl: 0.500 0.500 0.500

21.
The following is a DFT calculation (PBE) of crystalline CaEr2Tm3Bi6 at its relaxed geometry.

Values from the calculation:
For the density, the calculation gives 9.37 g/cm³. For the calculated formation energy, the calculation gives -75.0 kJ/mol of atoms. As for the uncorrected energy: -4.763 eV per atom.

Unit cell a=9.991 b=9.991 c=8.956 alpha=102.94 beta=102.94 gamma=25.77
Positions (direct):
Ca: 0.000 0.000 0.000
Er: 0.334 0.334 0.669
Er: 0.666 0.666 0.331
Tm: 0.000 0.000 0.500
Tm: 0.336 0.336 0.167
Tm: 0.664 0.664 0.833
Bi: 0.167 0.167 0.584
Bi: 0.170 0.170 0.085
Bi: 0.500 0.500 0.258
Bi: 0.500 0.500 0.742
Bi: 0.830 0.830 0.915
Bi: 0.833 0.833 0.416

22.
The following is a DFT calculation (PBE) of crystalline BeZn2Ag at its relaxed geometry.

Values from the calculation:
For the density, the calculation gives 7.49 g/cm³. For the calculated formation energy, the calculation gives 8.6 kJ/mol of atoms. As for the uncorrected energy: -2.192 eV per atom.

Unit cell a=2.837 b=2.837 c=6.822 alpha=90.00 beta=90.00 gamma=90.00
Positions (direct):
Be: 0.000 0.000 0.000
Zn: 0.000 0.000 0.477
Zn: 0.500 0.500 0.210
Ag: 0.500 0.500 0.770

23.
The following is a DFT calculation (PBE) of crystalline CrCo2Ir at its relaxed geometry.

Values from the calculation:
For the density, the calculation gives 12.72 g/cm³. For the calculated formation energy, the calculation gives 4.0 kJ/mol of atoms. As for the uncorrected energy: -8.132 eV per atom.

Unit cell a=2.580 b=3.586 c=5.109 alpha=90.00 beta=90.00 gamma=90.00
Positions (direct):
Cr: 0.000 0.000 0.000
Co: 0.500 0.500 0.240
Co: 0.500 0.500 0.760
Ir: 0.000 0.000 0.500

24.
The following is a DFT calculation (PBE) of crystalline Ce6TcSn2 at its relaxed geometry.

Values from the calculation:
For the density, the calculation gives 7.95 g/cm³. For the calculated formation energy, the calculation gives -31.4 kJ/mol of atoms. As for the uncorrected energy: -6.323 eV per atom.

Unit cell a=8.476 b=8.476 c=3.949 alpha=90.00 beta=90.00 gamma=120.00
Positions (direct):
Ce: 0.000 0.398 0.000
Ce: 0.000 0.757 0.500
Ce: 0.243 0.243 0.500
Ce: 0.398 0.000 0.000
Ce: 0.602 0.602 0.000
Ce: 0.757 0.000 0.500
Tc: 0.000 0.000 0.000
Sn: 0.333 0.667 0.500
Sn: 0.667 0.333 0.500